A plane-wave DFT calculation with GGA-PBE was carried out for a relaxed structure of PmPu2P3.

Calculated values
space group: No. 70
ΔH_f (0 K): -1.286 eV/atom

```
24
Lattice="-2.7142 4.6457 4.4683 3.0124 -5.1983 3.5803 10.3226 6.3653 -3.9941" Properties=species:S:1:pos:R:3 pbc="T T T"
Pu 2.1150 4.3418 2.2442
P 0.2205 -0.4087 5.9524
P 10.1677 2.6873 -0.2352
P 3.5779 1.9598 2.0695
Pu 5.6424 6.3929 2.2543
Pm 8.4834 1.4579 1.8103
Pu 11.9555 3.4768 1.8203
Pm 5.0006 -0.5673 1.8002
P 6.8969 4.1233 -1.9536
Pu 1.9128 0.7492 4.0294
Pu 1.5285 -2.5862 1.7902
P 7.3638 7.5068 0.2858
Pu 5.2135 3.0315 0.0150
P 3.2601 -1.7000 3.8544
Pm 1.7414 1.0126 0.0050
P 3.8073 5.4997 0.3211
P 3.7800 1.5927 5.9994
P 6.9866 3.9496 1.9937
P 3.9501 5.2350 4.1774
Pu 5.4072 2.7812 4.0395
Pm 8.8793 4.8001 4.0495
Pu 8.7079 5.0634 0.0251
P 0.0776 -0.1439 2.0961
P 0.4499 3.1313 4.2040
```